RbSrCd2Pd: relaxed, GGA-PBE.

## Properties
The formation energy comes out at -0.2111 eV per atom. The size of the total moment comes out at 0.0 μB/f.u.

a = 5.5154 Å, b = 5.5154 Å, c = 5.6129 Å
α = 90.00°, β = 90.00°, γ = 90.00°
Last column: nearest neighbours and their distance in Å.
Fractional positions:
Sr1 0.0000 0.0000 0.5000  2 Pd 2.81
Rb1 0.5000 0.5000 0.5000  4 Sr 3.90, 8 Cd 3.93
Cd1 0.5000 0.0000 0.0000  2 Pd 2.76
Pd1 0.0000 0.0000 0.0000  4 Cd 2.76, 2 Sr 2.81
Cd2 0.0000 0.5000 0.0000  2 Pd 2.76